No. 1
## VRh (PBE)

Data for a geometry-optimized VRh structure.

Values from the calculation:
As for the space-group type: P2_12_12_1, No. 19. The energy of formation comes out at -263 meV per atom.

Unit cell a=5.013 b=4.703 c=9.477 alpha=90.00 beta=90.00 gamma=90.00
Element x y z (fractional)
Rh 0.251 0.586 0.451
Rh 0.751 0.914 0.549
Rh 0.565 0.575 0.185
V 0.254 0.912 0.065
V 0.939 0.934 0.293
V 0.561 0.066 0.793
V 0.246 0.088 0.565
Rh 0.935 0.425 0.685
Rh 0.065 0.925 0.815
V 0.061 0.434 0.207
Rh 0.249 0.414 0.951
V 0.439 0.566 0.707
Rh 0.749 0.086 0.049
V 0.746 0.412 0.435
Rh 0.435 0.075 0.315
V 0.754 0.588 0.935


No. 2
## Sr3TiCo (PBE)

Data for a geometry-optimized Sr3TiCo structure.

Values from the calculation:
As for the space-group type: Pm-3m, No. 221. The energy of formation comes out at 752 meV per atom.

Unit cell a=5.685 b=5.685 c=5.685 alpha=90.00 beta=90.00 gamma=90.00
Last column: magnetic moment on the atom in μB.
Element x y z (fractional)
Sr 0.500 0.000 0.000  0.03
Sr 0.000 0.500 0.000  0.03
Co 0.000 0.000 0.000  0.02
Ti 0.500 0.500 0.500  1.97
Sr 0.000 0.000 0.500  0.04


No. 3
## LiCo2Mo (PBE)

Data for a geometry-optimized LiCo2Mo structure.

Values from the calculation:
As for the space-group type: R-3m, No. 166. The energy of formation comes out at 247 meV per atom.

Unit cell a=8.753 b=8.753 c=8.753 alpha=17.31 beta=17.31 gamma=17.31
Last column: magnetic moment on the atom in μB.
Element x y z (fractional)
Co 0.001 0.001 0.001  1.08
Co 0.499 0.499 0.499  1.08
Mo 0.750 0.750 0.750  -0.10
Li 0.250 0.250 0.250  -0.02


No. 4
## B2C3 (PBE)

Data for a geometry-optimized B2C3 structure.

Values from the calculation:
As for the space-group type: R3m, No. 160. The energy of formation comes out at 357 meV per atom.

Unit cell a=11.356 b=11.356 c=11.356 alpha=13.02 beta=13.02 gamma=13.02
Element x y z (fractional)
C 0.047 0.047 0.047
C 0.448 0.448 0.448
C 0.251 0.251 0.251
B 0.399 0.399 0.399
B 0.843 0.843 0.843
B 0.605 0.605 0.605
C 0.002 0.002 0.002
B 0.206 0.206 0.206
C 0.653 0.653 0.653
C 0.795 0.795 0.795


No. 5
## SnPb3Se6 (PBE)

Data for a geometry-optimized SnPb3Se6 structure.

Values from the calculation:
As for the formation energy (no corrections): -0.19 eV per atom. As for the space-group type: Fmmm, No. 69.

Unit cell a=7.563 b=7.563 c=7.451 alpha=115.28 beta=115.28 gamma=99.13
Element x y z (fractional)
Sn 0.000 0.000 0.000
Se 0.243 0.757 0.000
Se 0.369 0.369 0.275
Pb 0.750 0.250 0.500
Pb 0.250 0.750 0.500
Se 0.093 0.093 0.725
Pb 0.500 0.500 0.000
Se 0.631 0.631 0.725
Se 0.907 0.907 0.275
Se 0.757 0.243 0.000


No. 6
## Ac2Tb7Ho3 (PBE)

Data for a geometry-optimized Ac2Tb7Ho3 structure.

Values from the calculation:
As for the space-group type: P2/m, No. 10. The energy of formation comes out at 106 meV per atom.

Unit cell a=3.590 b=6.406 c=18.220 alpha=75.91 beta=90.00 gamma=90.00
Element x y z (fractional)
Tb 0.000 0.000 0.000
Tb 0.000 0.562 0.158
Ho 0.000 0.110 0.342
Ho 0.000 0.890 0.658
Ac 0.500 0.385 0.674
Ho 0.500 0.500 0.000
Tb 0.000 0.438 0.842
Tb 0.500 0.932 0.836
Ac 0.500 0.615 0.326
Tb 0.500 0.762 0.499
Tb 0.500 0.068 0.164
Tb 0.500 0.238 0.501


Number 1: density of states at the Fermi level 2.1 states/eV/f.u., ρ 9.15 g/cm3. Number 2: density of states at the Fermi level 15.6 states/eV/f.u., ρ 3.34 g/cm3. Number 3: density of states at the Fermi level 2.6 states/eV/f.u., ρ 7.08 g/cm3. Number 4: density of states at the Fermi level 1.4 states/eV/f.u., ρ 2.96 g/cm3. Number 5: density of states at the Fermi level 1.3 states/eV/f.u., ρ 6.37 g/cm3. Number 6: density of states at the Fermi level 17.8 states/eV/f.u., ρ 8.42 g/cm3.